Entry 1:
# Pu2FeTc PBE-GGA optimized geometry
data_Pu2FeTc
_chemical_formula_sum 'Pu2 Fe1 Tc1'
_cell_length_a 3.3158
_cell_length_b 3.3158
_cell_length_c 6.8089
_cell_angle_alpha 90.00
_cell_angle_beta 90.00
_cell_angle_gamma 90.00
_symmetry_space_group_name_H-M 'P 1'
_symmetry_Int_Tables_number 1
loop_
_symmetry_equiv_pos_as_xyz
'x,y,z'
loop_
_atom_site_label
_atom_site_fract_x
_atom_site_fract_y
_atom_site_fract_z
Pu1 0.0000 0.0000 0.2443
Pu2 0.0000 0.0000 0.7557
Fe1 0.5000 0.5000 0.0000
Tc1 0.5000 0.5000 0.5000
# - Formation enthalpy at 0 K: 0.07 eV per atom



Entry 2:
# TmPaZn2 PBE-GGA optimized geometry
data_TmPaZn2
_chemical_formula_sum 'Tm1 Pa1 Zn2'
_cell_length_a 9.7634
_cell_length_b 9.7634
_cell_length_c 9.7634
_cell_angle_alpha 19.40
_cell_angle_beta 19.40
_cell_angle_gamma 19.40
_symmetry_space_group_name_H-M 'P 1'
_symmetry_Int_Tables_number 1
loop_
_symmetry_equiv_pos_as_xyz
'x,y,z'
loop_
_atom_site_label
_atom_site_fract_x
_atom_site_fract_y
_atom_site_fract_z
Tm1 0.0000 0.0000 0.0000
Pa1 0.5000 0.5000 0.5000
Zn1 0.2525 0.2525 0.2525
Zn2 0.7475 0.7475 0.7475
# - Formation enthalpy at 0 K: 0.02 eV per atom
# - Energy above the lowest structure with this stoichiometry: 142 meV per atom



Entry 3:
# LiRuCl2 PBE-GGA optimized geometry
data_LiRuCl2
_chemical_formula_sum 'Li2 Ru2 Cl4'
_cell_length_a 6.7408
_cell_length_b 6.7408
_cell_length_c 6.7408
_cell_angle_alpha 132.75
_cell_angle_beta 132.75
_cell_angle_gamma 69.05
_symmetry_space_group_name_H-M 'P 1'
_symmetry_Int_Tables_number 1
loop_
_symmetry_equiv_pos_as_xyz
'x,y,z'
loop_
_atom_site_label
_atom_site_fract_x
_atom_site_fract_y
_atom_site_fract_z
Li1 0.0000 0.0000 0.0000
Li2 0.7500 0.2500 0.5000
Ru1 0.2500 0.7500 0.5000
Ru2 0.5000 0.5000 0.0000
Cl1 0.1241 0.6250 0.9991
Cl2 0.3750 0.3741 0.4991
Cl3 0.6259 0.1250 0.0009
Cl4 0.8750 0.8759 0.5009
# - Energy above the lowest structure with this stoichiometry: 180 meV per atom
# - Raw formation energy: -1.2 eV/f.u.



Entry 4:
# SrCl3 PBE-GGA optimized geometry
data_SrCl3
_chemical_formula_sum 'Sr1 Cl3'
_cell_length_a 6.2878
_cell_length_b 6.2878
_cell_length_c 6.2878
_cell_angle_alpha 45.34
_cell_angle_beta 45.34
_cell_angle_gamma 45.34
_symmetry_space_group_name_H-M 'P 1'
_symmetry_Int_Tables_number 1
loop_
_symmetry_equiv_pos_as_xyz
'x,y,z'
loop_
_atom_site_label
_atom_site_fract_x
_atom_site_fract_y
_atom_site_fract_z
Sr1 0.0000 0.0000 0.0000
Cl1 0.2699 0.2699 0.2699
Cl2 0.5000 0.5000 0.5000
Cl3 0.7301 0.7301 0.7301
# - Raw formation energy: -6.0 eV/f.u.



Entry 5:
# Ho2Tm2Si3 PBE-GGA optimized geometry
data_Ho2Tm2Si3
_chemical_formula_sum 'Ho2 Tm2 Si3'
_cell_length_a 5.5617
_cell_length_b 5.5617
_cell_length_c 7.9244
_cell_angle_alpha 102.05
_cell_angle_beta 102.05
_cell_angle_gamma 48.63
_symmetry_space_group_name_H-M 'P 1'
_symmetry_Int_Tables_number 1
loop_
_symmetry_equiv_pos_as_xyz
'x,y,z'
loop_
_atom_site_label
_atom_site_fract_x
_atom_site_fract_y
_atom_site_fract_z
Ho1 0.1366 0.1366 0.4084
Ho2 0.8634 0.8634 0.5916
Tm1 0.3713 0.3713 0.1463
Tm2 0.6287 0.6287 0.8537
Si1 0.2914 0.2914 0.7797
Si2 0.5000 0.5000 0.5000
Si3 0.7086 0.7086 0.2203
# - Raw formation energy: -3.3 eV/f.u.



Entry 6:
# Ce3Ho3ErS8 PBE-GGA optimized geometry
data_Ce3Ho3ErS8
_chemical_formula_sum 'Ce3 Ho3 Er1 S8'
_cell_length_a 7.9559
_cell_length_b 7.9559
_cell_length_c 7.9559
_cell_angle_alpha 59.10
_cell_angle_beta 59.10
_cell_angle_gamma 59.10
_symmetry_space_group_name_H-M 'P 1'
_symmetry_Int_Tables_number 1
loop_
_symmetry_equiv_pos_as_xyz
'x,y,z'
loop_
_atom_site_label
_atom_site_fract_x
_atom_site_fract_y
_atom_site_fract_z
Ce1 0.0000 0.5000 0.5000
Ce2 0.5000 0.0000 0.5000
Ce3 0.5000 0.5000 0.0000
Ho1 0.0000 0.0000 0.5000
Ho2 0.0000 0.5000 0.0000
Ho3 0.5000 0.0000 0.0000
Er1 0.5000 0.5000 0.5000
S1 0.2454 0.2454 0.2454
S2 0.2450 0.7460 0.7460
S3 0.2540 0.2540 0.7550
S4 0.2540 0.7550 0.2540
S5 0.7460 0.2450 0.7460
S6 0.7460 0.7460 0.2450
S7 0.7550 0.2540 0.2540
S8 0.7546 0.7546 0.7546
# - Raw formation energy: -30.7 eV/f.u.



Entry 7:
# SmYCu3 PBE-GGA optimized geometry
data_SmYCu3
_chemical_formula_sum 'Sm2 Y2 Cu6'
_cell_length_a 12.9347
_cell_length_b 12.9347
_cell_length_c 4.2949
_cell_angle_alpha 90.00
_cell_angle_beta 90.00
_cell_angle_gamma 163.48
_symmetry_space_group_name_H-M 'P 1'
_symmetry_Int_Tables_number 1
loop_
_symmetry_equiv_pos_as_xyz
'x,y,z'
loop_
_atom_site_label
_atom_site_fract_x
_atom_site_fract_y
_atom_site_fract_z
Sm1 0.0715 0.9285 0.7500
Sm2 0.9285 0.0715 0.2500
Y1 0.2042 0.7958 0.2500
Y2 0.7958 0.2042 0.7500
Cu1 0.3280 0.6720 0.2500
Cu2 0.3813 0.6187 0.7500
Cu3 0.4768 0.5232 0.7500
Cu4 0.5232 0.4768 0.2500
Cu5 0.6187 0.3813 0.2500
Cu6 0.6720 0.3280 0.7500
# - Formation enthalpy at 0 K: -0.23 eV per atom



Entry 8:
# Na2PmTl5 PBE-GGA optimized geometry
data_Na2PmTl5
_chemical_formula_sum 'Na2 Pm1 Tl5'
_cell_length_a 6.6976
_cell_length_b 6.6976
_cell_length_c 6.6976
_cell_angle_alpha 105.63
_cell_angle_beta 105.63
_cell_angle_gamma 117.47
_symmetry_space_group_name_H-M 'P 1'
_symmetry_Int_Tables_number 1
loop_
_symmetry_equiv_pos_as_xyz
'x,y,z'
loop_
_atom_site_label
_atom_site_fract_x
_atom_site_fract_y
_atom_site_fract_z
Na1 0.0000 0.5000 0.5000
Na2 0.5000 0.0000 0.5000
Pm1 0.0005 0.0005 0.0000
Tl1 0.9999 0.9999 0.4996
Tl2 0.9999 0.5003 0.0000
Tl3 0.5003 0.9999 0.0000
Tl4 0.4996 0.4996 0.0000
Tl5 0.5003 0.5003 0.5004
# - Formation enthalpy at 0 K: -0.18 eV per atom
# - Energy above the lowest structure with this stoichiometry: 0 meV per atom



Entry 9:
# Fe2SiNi PBE-GGA optimized geometry
data_Fe2SiNi
_chemical_formula_sum 'Fe2 Si1 Ni1'
_cell_length_a 4.3521
_cell_length_b 4.3521
_cell_length_c 2.5537
_cell_angle_alpha 90.13
_cell_angle_beta 90.13
_cell_angle_gamma 112.17
_symmetry_space_group_name_H-M 'P 1'
_symmetry_Int_Tables_number 1
loop_
_symmetry_equiv_pos_as_xyz
'x,y,z'
loop_
_atom_site_label
_atom_site_fract_x
_atom_site_fract_y
_atom_site_fract_z
Fe1 0.0000 0.5000 0.0000
Fe2 0.5000 0.0000 0.0000
Si1 0.0000 0.0000 0.5000
Ni1 0.5000 0.5000 0.5000
# - Raw formation energy: -0.8 eV/f.u.



Entry 10:
# Ba2ZnSn PBE-GGA optimized geometry
data_Ba2ZnSn
_chemical_formula_sum 'Ba2 Zn1 Sn1'
_cell_length_a 12.0529
_cell_length_b 12.0529
_cell_length_c 12.0529
_cell_angle_alpha 19.55
_cell_angle_beta 19.55
_cell_angle_gamma 19.55
_symmetry_space_group_name_H-M 'P 1'
_symmetry_Int_Tables_number 1
loop_
_symmetry_equiv_pos_as_xyz
'x,y,z'
loop_
_atom_site_label
_atom_site_fract_x
_atom_site_fract_y
_atom_site_fract_z
Ba1 0.0981 0.0981 0.0981
Ba2 0.9019 0.9019 0.9019
Zn1 0.5000 0.5000 0.5000
Sn1 0.0000 0.0000 0.0000
# - Formation enthalpy at 0 K: 0.20 eV per atom



Entry 11:
# CeNdTm2Sb4 PBE-GGA optimized geometry
data_CeNdTm2Sb4
_chemical_formula_sum 'Ce1 Nd1 Tm2 Sb4'
_cell_length_a 7.6464
_cell_length_b 4.4281
_cell_length_c 7.6734
_cell_angle_alpha 90.00
_cell_angle_beta 109.45
_cell_angle_gamma 90.00
_symmetry_space_group_name_H-M 'P 1'
_symmetry_Int_Tables_number 1
loop_
_symmetry_equiv_pos_as_xyz
'x,y,z'
loop_
_atom_site_label
_atom_site_fract_x
_atom_site_fract_y
_atom_site_fract_z
Ce1 0.0000 0.0000 0.0000
Nd1 0.0000 0.5000 0.5000
Tm1 0.5000 0.0000 0.5000
Tm2 0.5000 0.5000 0.0000
Sb1 0.2611 0.0000 0.7556
Sb2 0.2605 0.5000 0.2522
Sb3 0.7389 0.0000 0.2444
Sb4 0.7395 0.5000 0.7478
# - Raw formation energy: -8.7 eV/f.u.



Entry 12:
# La4PdPt PBE-GGA optimized geometry
data_La4PdPt
_chemical_formula_sum 'La8 Pd2 Pt2'
_cell_length_a 7.2448
_cell_length_b 7.2448
_cell_length_c 6.7163
_cell_angle_alpha 90.00
_cell_angle_beta 90.00
_cell_angle_gamma 90.00
_symmetry_space_group_name_H-M 'P 1'
_symmetry_Int_Tables_number 1
loop_
_symmetry_equiv_pos_as_xyz
'x,y,z'
loop_
_atom_site_label
_atom_site_fract_x
_atom_site_fract_y
_atom_site_fract_z
La1 0.1778 0.3170 0.0000
La2 0.1778 0.6830 0.5000
La3 0.3170 0.1778 0.5000
La4 0.3170 0.8222 0.0000
La5 0.6830 0.1778 0.0000
La6 0.6830 0.8222 0.5000
La7 0.8222 0.3170 0.5000
La8 0.8222 0.6830 0.0000
Pd1 0.5000 0.5000 0.2500
Pd2 0.5000 0.5000 0.7500
Pt1 0.0000 0.0000 0.2500
Pt2 0.0000 0.0000 0.7500
# - Formation enthalpy at 0 K: -0.64 eV per atom
# - Energy above the lowest structure with this stoichiometry: 0 meV per atom



Entry 13:
# AcTb3Tm2 PBE-GGA optimized geometry
data_AcTb3Tm2
_chemical_formula_sum 'Ac2 Tb6 Tm4'
_cell_length_a 8.2538
_cell_length_b 8.2538
_cell_length_c 6.9086
_cell_angle_alpha 108.31
_cell_angle_beta 108.31
_cell_angle_gamma 82.87
_symmetry_space_group_name_H-M 'P 1'
_symmetry_Int_Tables_number 1
loop_
_symmetry_equiv_pos_as_xyz
'x,y,z'
loop_
_atom_site_label
_atom_site_fract_x
_atom_site_fract_y
_atom_site_fract_z
Ac1 0.0741 0.9259 0.7500
Ac2 0.9259 0.0741 0.2500
Tb1 0.2718 0.7282 0.2500
Tb2 0.3364 0.3991 0.5293
Tb3 0.3991 0.3364 0.0293
Tb4 0.6009 0.6636 0.9707
Tb5 0.6636 0.6009 0.4707
Tb6 0.7282 0.2718 0.7500
Tm1 0.0293 0.4991 0.7690
Tm2 0.4991 0.0293 0.2690
Tm3 0.5009 0.9707 0.7310
Tm4 0.9707 0.5009 0.2310
# - Formation enthalpy at 0 K: 0.27 eV per atom



Entry 14:
# Dy3CuIr8 PBE-GGA optimized geometry
data_Dy3CuIr8
_chemical_formula_sum 'Dy3 Cu1 Ir8'
_cell_length_a 9.1941
_cell_length_b 9.1941
_cell_length_c 9.1941
_cell_angle_alpha 33.62
_cell_angle_beta 33.62
_cell_angle_gamma 33.62
_symmetry_space_group_name_H-M 'P 1'
_symmetry_Int_Tables_number 1
loop_
_symmetry_equiv_pos_as_xyz
'x,y,z'
loop_
_atom_site_label
_atom_site_fract_x
_atom_site_fract_y
_atom_site_fract_z
Dy1 0.0000 0.0000 0.0000
Dy2 0.1294 0.1294 0.1294
Dy3 0.5139 0.5139 0.5139
Cu1 0.6426 0.6426 0.6426
Ir1 0.0666 0.5667 0.5667
Ir2 0.0677 0.0677 0.5677
Ir3 0.0677 0.5677 0.0677
Ir4 0.3165 0.3165 0.3165
Ir5 0.5667 0.0666 0.5667
Ir6 0.5667 0.5667 0.0666
Ir7 0.5677 0.0677 0.0677
Ir8 0.8170 0.8170 0.8170
# - Formation enthalpy at 0 K: -0.54 eV per atom



Entry 15:
# NaEuZn PBE-GGA optimized geometry
data_NaEuZn
_chemical_formula_sum 'Na1 Eu1 Zn1'
_cell_length_a 6.9638
_cell_length_b 6.9638
_cell_length_c 6.9638
_cell_angle_alpha 148.65
_cell_angle_beta 148.65
_cell_angle_gamma 44.92
_symmetry_space_group_name_H-M 'P 1'
_symmetry_Int_Tables_number 1
loop_
_symmetry_equiv_pos_as_xyz
'x,y,z'
loop_
_atom_site_label
_atom_site_fract_x
_atom_site_fract_y
_atom_site_fract_z
Na1 0.0000 0.0000 0.0000
Eu1 0.2768 0.2768 0.0000
Zn1 0.6398 0.6398 0.0000
# - Formation enthalpy at 0 K: -0.02 eV per atom
# - Energy above the lowest structure with this stoichiometry: 0 meV per atom



Entry 16:
# ZrPb2 PBE-GGA optimized geometry
data_ZrPb2
_chemical_formula_sum 'Zr1 Pb2'
_cell_length_a 3.4282
_cell_length_b 3.4282
_cell_length_c 7.9125
_cell_angle_alpha 90.00
_cell_angle_beta 90.00
_cell_angle_gamma 120.00
_symmetry_space_group_name_H-M 'P 1'
_symmetry_Int_Tables_number 1
loop_
_symmetry_equiv_pos_as_xyz
'x,y,z'
loop_
_atom_site_label
_atom_site_fract_x
_atom_site_fract_y
_atom_site_fract_z
Zr1 0.0000 0.0000 0.0000
Pb1 0.3333 0.6667 0.3180
Pb2 0.6667 0.3333 0.6820
# - Formation enthalpy at 0 K: 0.03 eV per atom



Entry 17:
# VWS2N PBE-GGA optimized geometry
data_VWS2N
_chemical_formula_sum 'V1 W1 S2 N1'
_cell_length_a 4.6883
_cell_length_b 4.6883
_cell_length_c 3.5316
_cell_angle_alpha 90.00
_cell_angle_beta 90.00
_cell_angle_gamma 90.00
_symmetry_space_group_name_H-M 'P 1'
_symmetry_Int_Tables_number 1
loop_
_symmetry_equiv_pos_as_xyz
'x,y,z'
loop_
_atom_site_label
_atom_site_fract_x
_atom_site_fract_y
_atom_site_fract_z
V1 0.0000 0.0000 0.0000
W1 0.5000 0.5000 0.5000
S1 0.0000 0.5000 0.0000
S2 0.5000 0.0000 0.0000
N1 0.0000 0.0000 0.5000
# - Energy above the lowest structure with this stoichiometry: 145 meV per atom
# - Raw formation energy: 3.1 eV/f.u.



Entry 18:
# AlPtRh PBE-GGA optimized geometry
data_AlPtRh
_chemical_formula_sum 'Al2 Pt2 Rh2'
_cell_length_a 10.9756
_cell_length_b 10.9756
_cell_length_c 10.9756
_cell_angle_alpha 164.83
_cell_angle_beta 164.83
_cell_angle_gamma 21.52
_symmetry_space_group_name_H-M 'P 1'
_symmetry_Int_Tables_number 1
loop_
_symmetry_equiv_pos_as_xyz
'x,y,z'
loop_
_atom_site_label
_atom_site_fract_x
_atom_site_fract_y
_atom_site_fract_z
Al1 0.1259 0.1259 0.0000
Al2 0.8741 0.8741 0.0000
Pt1 0.2992 0.2992 0.0000
Pt2 0.7008 0.7008 0.0000
Rh1 0.4416 0.4416 0.0000
Rh2 0.5584 0.5584 0.0000
# - Formation enthalpy at 0 K: -0.61 eV per atom
# - Energy above the lowest structure with this stoichiometry: 126 meV per atom



Entry 19:
# MnCrMo4 PBE-GGA optimized geometry
data_MnCrMo4
_chemical_formula_sum 'Mn1 Cr1 Mo4'
_cell_length_a 5.1732
_cell_length_b 5.1732
_cell_length_c 5.1732
_cell_angle_alpha 60.00
_cell_angle_beta 60.00
_cell_angle_gamma 60.00
_symmetry_space_group_name_H-M 'P 1'
_symmetry_Int_Tables_number 1
loop_
_symmetry_equiv_pos_as_xyz
'x,y,z'
loop_
_atom_site_label
_atom_site_fract_x
_atom_site_fract_y
_atom_site_fract_z
Mn1 0.0000 0.0000 0.0000
Cr1 0.2500 0.2500 0.2500
Mo1 0.1238 0.6254 0.6254
Mo2 0.6254 0.1238 0.6254
Mo3 0.6254 0.6254 0.1238
Mo4 0.6254 0.6254 0.6254
# - Formation enthalpy at 0 K: 0.48 eV per atom



Entry 20:
# Th2SbCl2 PBE-GGA optimized geometry
data_Th2SbCl2
_chemical_formula_sum 'Th2 Sb1 Cl2'
_cell_length_a 10.9833
_cell_length_b 10.9833
_cell_length_c 10.9833
_cell_angle_alpha 22.33
_cell_angle_beta 22.33
_cell_angle_gamma 22.33
_symmetry_space_group_name_H-M 'P 1'
_symmetry_Int_Tables_number 1
loop_
_symmetry_equiv_pos_as_xyz
'x,y,z'
loop_
_atom_site_label
_atom_site_fract_x
_atom_site_fract_y
_atom_site_fract_z
Th1 0.1101 0.1101 0.1101
Th2 0.8899 0.8899 0.8899
Sb1 0.5000 0.5000 0.5000
Cl1 0.2767 0.2767 0.2767
Cl2 0.7233 0.7233 0.7233
# - Raw formation energy: -6.6 eV/f.u.